Entry from the Alexandria database: an optimized crystal structure of Li2OsSe (PBE).

Cell: 8.7804 8.7804 8.7804 Å, 18.29 18.29 18.29°
With the nearest neighbours (Å) after each atom.
Atoms (fractional coordinates):
Li 0.0010 0.0010 0.0010  3 Se 2.67, 3 Os 2.71, 6 Li 2.79
Li 0.4990 0.4990 0.4990  3 Se 2.67, 3 Os 2.71, 6 Li 2.79
Os 0.2500 0.2500 0.2500  6 Li 2.71, 6 Os 2.79
Se 0.7500 0.7500 0.7500  6 Li 2.67, 6 Se 2.79

Properties
- Space group: No. 166
- Raw total energy: -4.68 eV/atom
- Magnetic moment: 0.2 μB/f.u.
- DOS(E_F): 0.42 states/eV/atom